[1]
A plane-wave DFT calculation with GGA-PBE was carried out for a geometry-optimized NaTaAgTeS2 structure.

Properties
**Total DFT energy (no corrections)**: -5.089 eV/atom

Cell lengths 3.5736, 14.6733, 10.3859 Å; angles 90.00, 90.00, 90.00 degrees
Space group Cmcm (No. 63)
Symmetry-distinct sites (fractional):
Na (0.0000, 0.2161, 0.2500)
Ta (0.0000, 0.0000, 0.0000)
Ag (0.0000, 0.4568, 0.7500)
Te (0.0000, 0.1034, 0.7500)
S (0.0000, 0.3823, 0.5410)

---

[2]
A plane-wave DFT calculation with GGA-PBE was carried out for a geometry-optimized NaTbAg3S4 structure.

Properties
**Total DFT energy (no corrections)**: -4.093 eV/atom

Cell lengths 6.2023, 6.2023, 6.2023 Å; angles 90.00, 90.00, 90.00 degrees
Space group P-43m (No. 215)
Symmetry-distinct sites (fractional):
Na (0.0000, 0.0000, 0.0000)
Tb (0.5000, 0.5000, 0.5000)
Ag (0.0000, 0.5000, 0.5000)
S (0.2598, 0.2598, 0.2598)

---

[3]
A plane-wave DFT calculation with GGA-PBE was carried out for a geometry-optimized NaTbAg3S4 structure.

Properties
**Total DFT energy (no corrections)**: -4.084 eV/atom

Cell lengths 6.3577, 7.8526, 10.2173 Å; angles 90.00, 104.00, 90.00 degrees
Space group P2_1/m (No. 11)
Symmetry-distinct sites (fractional):
Na (0.1350, 0.2500, 0.1844)
Tb (0.2786, 0.2500, 0.6983)
Ag (0.2011, 0.7500, 0.2094)
Ag (0.2508, 0.5635, 0.4718)
S (0.0170, 0.2500, 0.4464)
S (0.1600, 0.2500, 0.9228)
S (0.4510, 0.0034, 0.2914)

---

[4]
A plane-wave DFT calculation with GGA-PBE was carried out for a geometry-optimized NaTcAgS3 structure.

Properties
**Total DFT energy (no corrections)**: -4.960 eV/atom

Cell lengths 14.2220, 3.4485, 9.4383 Å; angles 90.00, 90.00, 90.00 degrees
Space group Pnma (No. 62)
Symmetry-distinct sites (fractional):
Na (0.1098, 0.2500, 0.0033)
Tc (0.0290, 0.7500, 0.3875)
Ag (0.2101, 0.7500, 0.7528)
S (0.0376, 0.7500, 0.7812)
S (0.1155, 0.2500, 0.5021)
S (0.1633, 0.7500, 0.2185)

---

[5]
A plane-wave DFT calculation with GGA-PBE was carried out for a geometry-optimized NaTcAgS3 structure.

Properties
**Total DFT energy (no corrections)**: -4.747 eV/atom

Cell lengths 3.3727, 13.7895, 9.7149 Å; angles 90.00, 90.00, 90.00 degrees
Space group Cmcm (No. 63)
Symmetry-distinct sites (fractional):
Na (0.0000, 0.2384, 0.2500)
Tc (0.0000, 0.5000, 0.0000)
Ag (0.0000, 0.0725, 0.7500)
S (0.0000, 0.1273, 0.5168)
S (0.0000, 0.4298, 0.7500)

---

[6]
A plane-wave DFT calculation with GGA-PBE was carried out for a geometry-optimized NaTcAgTeS2 structure.

Properties
**Total DFT energy (no corrections)**: -4.566 eV/atom

Cell lengths 3.5726, 14.6193, 10.3111 Å; angles 90.00, 90.00, 90.00 degrees
Space group Cmcm (No. 63)
Symmetry-distinct sites (fractional):
Na (0.0000, 0.2310, 0.2500)
Tc (0.0000, 0.0000, 0.0000)
Ag (0.0000, 0.4365, 0.7500)
Te (0.0000, 0.0880, 0.7500)
S (0.0000, 0.3844, 0.5277)

---

[7]
A plane-wave DFT calculation with GGA-PBE was carried out for a geometry-optimized NaZrAgTe2S structure.

Properties
**Total DFT energy (no corrections)**: -4.623 eV/atom

Cell lengths 4.1068, 14.8158, 10.2787 Å; angles 90.00, 90.00, 90.00 degrees
Space group Cmcm (No. 63)
Symmetry-distinct sites (fractional):
Na (0.0000, 0.2404, 0.2500)
Zr (0.0000, 0.5000, 0.0000)
Ag (0.0000, 0.0389, 0.7500)
Te (0.0000, 0.1433, 0.5315)
S (0.0000, 0.4408, 0.7500)

---

[8]
A plane-wave DFT calculation with GGA-PBE was carried out for a geometry-optimized NaZrAgTeS2 structure.

Properties
**Total DFT energy (no corrections)**: -4.934 eV/atom

Cell lengths 3.8295, 14.3123, 10.6800 Å; angles 90.00, 90.00, 90.00 degrees
Space group Cmcm (No. 63)
Symmetry-distinct sites (fractional):
Na (0.0000, 0.2089, 0.2500)
Zr (0.0000, 0.0000, 0.0000)
Ag (0.0000, 0.4715, 0.7500)
Te (0.0000, 0.1102, 0.7500)
S (0.0000, 0.3817, 0.5530)